1.
A relaxed structure of LiMg2SbN. Source: the Alexandria database, functional PBE.

Geometry as extended XYZ:
```
5
Lattice="4.229 0.000 0.000 0.000 4.229 0.000 0.000 0.000 4.571" Properties=species:S:1:pos:R:3 pbc="T T T"
Sb 2.114 2.114 2.285
Mg 0.000 2.114 0.000
Mg 2.114 0.000 0.000
Li 0.000 0.000 2.285
N 0.000 0.000 0.000
```

## Properties
E_form (uncorrected), eV/atom: -0.473
SG: P4/mmm
Magnetization, μB/f.u.: 0.0


2.
A relaxed structure of LiMgSeN2. Source: the Alexandria database, functional PBE.

Geometry as extended XYZ:
```
5
Lattice="4.184 0.000 0.000 0.000 4.184 0.000 0.000 0.000 5.404" Properties=species:S:1:pos:R:3 pbc="T T T"
Mg 0.000 0.000 0.000
Li 2.092 2.092 2.702
Se 0.000 0.000 2.702
N 0.000 2.092 0.000
N 2.092 0.000 0.000
```

## Properties
E_form (uncorrected), eV/atom: 0.918
SG: P4/mmm
Magnetization, μB/f.u.: 4.9


3.
A relaxed structure of LiMgSeN2. Source: the Alexandria database, functional PBE.

Geometry as extended XYZ:
```
5
Lattice="-3.677 0.043 -0.893 0.118 -3.723 -0.667 -1.092 -0.833 4.457" Properties=species:S:1:pos:R:3 pbc="T T T"
Mg -2.326 -2.257 1.448
Li 0.000 0.000 0.000
Se -0.546 -0.417 2.229
N 0.059 -1.862 -0.334
N -1.839 0.022 -0.446
```

## Properties
E_form (uncorrected), eV/atom: 1.129
SG: P4/mmm
Magnetization, μB/f.u.: 0.0


Which value of magnetization does entry 3 give? 0.0 μB/f.u.


E_form (uncorrected) of number 1 (LiMg2SbN)? -0.473 eV/atom